No. 1
## DyTmAgOs (PBE)

Data for an optimized crystal structure of DyTmAgOs.

## Properties
**Formation energy**: -0.35 eV per atom
**Electronic total energy**: -24.6 eV per cell

Lattice parameters (Å, degrees): 3.3854 3.3854 7.5537 90.00 90.00 90.00
Space group P4mm (No. 99)
Inequivalent atoms, fractional coordinates:
Dy (0.0000, 0.0000, 0.0000) (multiplicity 1)
Tm (0.0000, 0.0000, 0.5600) (multiplicity 1)
Ag (0.5000, 0.5000, 0.2872) (multiplicity 1)
Os (0.5000, 0.5000, 0.7763) (multiplicity 1)

---

No. 2
## Dy2AgP (PBE)

Data for an optimized crystal structure of Dy2AgP.

## Properties
**Formation energy**: -0.83 eV per atom
**Electronic total energy**: -62.4 eV per cell

Lattice parameters (Å, degrees): 4.0049 4.0049 21.3541 90.00 90.00 120.00
Space group R-3m (No. 166, hexagonal axes)
Inequivalent atoms, fractional coordinates:
Dy (0.0000, 0.0000, 0.2386) (multiplicity 6)
Ag (0.0000, 0.0000, 0.0000) (multiplicity 3)
P (0.0000, 0.0000, 0.5000) (multiplicity 3)